# 1
Compound: Sc5Tl2Ir
Source: Alexandria
Functional: PBE
Structure: relaxed

Results
- SG = No. 55

a b c (Å): 6.425 11.874 4.648
angles (deg): 90.00 90.00 90.00
Fractional positions:
Sc: 0.000 0.000 0.000
Sc: 0.121 0.286 0.000
Sc: 0.171 0.585 0.500
Sc: 0.329 0.085 0.500
Sc: 0.379 0.786 0.000
Sc: 0.500 0.500 0.000
Sc: 0.621 0.214 0.000
Sc: 0.671 0.915 0.500
Sc: 0.829 0.415 0.500
Sc: 0.879 0.714 0.000
Tl: 0.111 0.840 0.500
Tl: 0.389 0.340 0.500
Tl: 0.611 0.660 0.500
Tl: 0.889 0.160 0.500
Ir: 0.000 0.500 0.000
Ir: 0.500 0.000 0.000

# 2
Compound: Sc6TlIr2
Source: Alexandria
Functional: PBE
Structure: relaxed

Results
- SG = No. 71

a b c (Å): 7.988 7.988 7.988
angles (deg): 112.68 111.70 104.16
Fractional positions:
Sc: 0.027 0.240 0.788
Sc: 0.187 0.287 0.474
Sc: 0.187 0.713 0.900
Sc: 0.330 0.030 0.700
Sc: 0.330 0.629 0.300
Sc: 0.452 0.240 0.212
Sc: 0.548 0.760 0.788
Sc: 0.670 0.371 0.700
Sc: 0.670 0.970 0.300
Sc: 0.813 0.287 0.100
Sc: 0.813 0.713 0.526
Sc: 0.973 0.760 0.212
Tl: 0.000 0.000 0.000
Tl: 0.500 0.500 0.000
Ir: 0.136 0.636 0.500
Ir: 0.340 0.000 0.340
Ir: 0.660 0.000 0.660
Ir: 0.864 0.364 0.500

# 3
Compound: Sc5TlIr4
Source: Alexandria
Functional: PBE
Structure: relaxed

Results
- SG = No. 123

a b c (Å): 3.274 3.274 16.874
angles (deg): 90.00 90.00 90.00
Fractional positions:
Sc: 0.000 0.000 0.000
Sc: 0.000 0.000 0.189
Sc: 0.000 0.000 0.376
Sc: 0.000 0.000 0.624
Sc: 0.000 0.000 0.811
Tl: 0.500 0.500 0.500
Ir: 0.500 0.500 0.094
Ir: 0.500 0.500 0.286
Ir: 0.500 0.500 0.714
Ir: 0.500 0.500 0.906

# 4
Compound: ScTlIr2
Source: Alexandria
Functional: PBE
Structure: relaxed

Results
- SG = No. 12

a b c (Å): 4.836 4.836 5.155
angles (deg): 101.80 101.80 37.00
Fractional positions:
Sc: 0.000 0.000 0.000
Tl: 0.500 0.500 0.500
Ir: 0.257 0.257 0.767
Ir: 0.743 0.743 0.233

# 5
Compound: ScTlIr2
Source: Alexandria
Functional: PBE
Structure: relaxed

Results
- SG = No. 119

a b c (Å): 5.244 5.244 5.244
angles (deg): 135.64 135.64 64.54
Fractional positions:
Sc: 0.000 0.000 0.000
Tl: 0.750 0.250 0.500
Ir: 0.250 0.750 0.500
Ir: 0.500 0.500 0.000

# 6
Compound: ScTlIr2
Source: Alexandria
Functional: PBE
Structure: relaxed

Results
- SG = No. 6

a b c (Å): 3.040 4.152 5.610
angles (deg): 90.00 90.18 90.00
Fractional positions:
Sc: 0.000 0.000 0.000
Tl: 0.499 0.500 0.694
Ir: 0.501 0.500 0.195
Ir: 0.999 0.000 0.473

# 7
Compound: ScTlIr2
Source: Alexandria
Functional: PBE
Structure: relaxed

Results
- SG = No. 166

a b c (Å): 9.060 9.060 9.060
angles (deg): 19.59 19.59 19.59
Fractional positions:
Sc: 0.000 0.000 0.000
Tl: 0.500 0.500 0.500
Ir: 0.257 0.257 0.257
Ir: 0.743 0.743 0.743

# 8
Compound: Tm3Sc3Tl2Ir
Source: Alexandria
Functional: PBE
Structure: relaxed

Results
- SG = No. 189

a b c (Å): 7.668 7.668 4.349
angles (deg): 90.00 90.00 120.00
Fractional positions:
Tm: 0.000 0.601 0.000
Tm: 0.399 0.399 0.000
Tm: 0.601 0.000 0.000
Sc: 0.000 0.235 0.500
Sc: 0.235 0.000 0.500
Sc: 0.765 0.765 0.500
Tl: 0.333 0.667 0.500
Tl: 0.667 0.333 0.500
Ir: 0.000 0.000 0.000

# 9
Compound: Y3Sc3Tl2Ir
Source: Alexandria
Functional: PBE
Structure: relaxed

Results
- SG = No. 189

a b c (Å): 7.727 7.727 4.389
angles (deg): 90.00 90.00 120.00
Fractional positions:
Y: 0.000 0.404 0.000
Y: 0.404 0.000 0.000
Y: 0.596 0.596 0.000
Sc: 0.000 0.768 0.500
Sc: 0.232 0.232 0.500
Sc: 0.768 0.000 0.500
Tl: 0.333 0.667 0.500
Tl: 0.667 0.333 0.500
Ir: 0.000 0.000 0.000

# 10
Compound: ZrScTlIr
Source: Alexandria
Functional: PBE
Structure: relaxed

Results
- E above lowest polymorph (meV/atom) = 0
- SG = No. 99

a b c (Å): 3.143 3.143 8.231
angles (deg): 90.00 90.00 90.00
Fractional positions:
Zr: 0.000 0.000 0.000
Sc: 0.000 0.000 0.577
Tl: 0.500 0.500 0.287
Ir: 0.500 0.500 0.780

# 11
Compound: ZrScTlIr
Source: Alexandria
Functional: PBE
Structure: relaxed

Results
- E above lowest polymorph (meV/atom) = 153
- SG = No. 216

a b c (Å): 4.843 4.843 4.843
angles (deg): 60.00 60.00 60.00
Fractional positions:
Zr: 0.000 0.000 0.000
Sc: 0.500 0.500 0.500
Tl: 0.250 0.250 0.250
Ir: 0.750 0.750 0.750

# 12
Compound: TmSc2Ir
Source: Alexandria
Functional: PBE
Structure: relaxed

Results
- E above lowest polymorph (meV/atom) = 0
- SG = No. 62

a b c (Å): 7.052 8.632 6.002
angles (deg): 90.00 90.00 90.00
Fractional positions:
Tm: 0.029 0.250 0.119
Tm: 0.471 0.750 0.619
Tm: 0.529 0.250 0.381
Tm: 0.971 0.750 0.881
Sc: 0.175 0.060 0.665
Sc: 0.175 0.440 0.665
Sc: 0.325 0.560 0.165
Sc: 0.325 0.940 0.165
Sc: 0.675 0.060 0.835
Sc: 0.675 0.440 0.835
Sc: 0.825 0.560 0.335
Sc: 0.825 0.940 0.335
Ir: 0.116 0.750 0.439
Ir: 0.384 0.250 0.939
Ir: 0.616 0.750 0.061
Ir: 0.884 0.250 0.561

# 13
Compound: TmSc3Ir3
Source: Alexandria
Functional: PBE
Structure: relaxed

Results
- SG = No. 166

a b c (Å): 5.673 5.673 5.673
angles (deg): 109.92 109.92 109.92
Fractional positions:
Tm: 0.000 0.000 0.000
Sc: 0.000 0.500 0.500
Sc: 0.500 0.000 0.500
Sc: 0.500 0.500 0.000
Ir: 0.000 0.000 0.500
Ir: 0.000 0.500 0.000
Ir: 0.500 0.000 0.000

# 14
Compound: TmSc2Ir
Source: Alexandria
Functional: PBE
Structure: relaxed

Results
- E above lowest polymorph (meV/atom) = 21
- SG = No. 63

a b c (Å): 5.966 5.966 8.489
angles (deg): 90.00 90.00 142.99
Fractional positions:
Tm: 0.065 0.935 0.750
Tm: 0.935 0.065 0.250
Sc: 0.356 0.644 0.564
Sc: 0.356 0.644 0.936
Sc: 0.644 0.356 0.064
Sc: 0.644 0.356 0.436
Ir: 0.247 0.753 0.250
Ir: 0.753 0.247 0.750

# 15
Compound: TmSc2Ir9
Source: Alexandria
Functional: PBE
Structure: relaxed

Results
- SG = No. 166

a b c (Å): 9.180 9.180 9.180
angles (deg): 33.11 33.11 33.11
Fractional positions:
Tm: 0.000 0.000 0.000
Sc: 0.139 0.139 0.139
Sc: 0.861 0.861 0.861
Ir: 0.082 0.585 0.585
Ir: 0.334 0.334 0.334
Ir: 0.415 0.415 0.918
Ir: 0.415 0.918 0.415
Ir: 0.500 0.500 0.500
Ir: 0.585 0.082 0.585
Ir: 0.585 0.585 0.082
Ir: 0.666 0.666 0.666
Ir: 0.918 0.415 0.415

# 16
Compound: Tm5ScIr6
Source: Alexandria
Functional: PBE
Structure: relaxed

Results
- SG = No. 65

a b c (Å): 7.324 7.324 7.043
angles (deg): 90.00 90.00 143.20
Fractional positions:
Tm: 0.000 0.000 0.000
Tm: 0.334 0.666 0.000
Tm: 0.335 0.665 0.500
Tm: 0.665 0.335 0.500
Tm: 0.666 0.334 0.000
Sc: 0.000 0.000 0.500
Ir: 0.164 0.836 0.253
Ir: 0.164 0.836 0.747
Ir: 0.500 0.500 0.257
Ir: 0.500 0.500 0.743
Ir: 0.836 0.164 0.253
Ir: 0.836 0.164 0.747

# 17
Compound: Tm2ScIr
Source: Alexandria
Functional: PBE
Structure: relaxed

Results
- E above lowest polymorph (meV/atom) = 0
- SG = No. 63

a b c (Å): 6.121 6.121 8.834
angles (deg): 90.00 90.00 144.19
Fractional positions:
Tm: 0.139 0.861 0.564
Tm: 0.139 0.861 0.936
Tm: 0.861 0.139 0.064
Tm: 0.861 0.139 0.436
Sc: 0.427 0.573 0.750
Sc: 0.573 0.427 0.250
Ir: 0.237 0.763 0.250
Ir: 0.763 0.237 0.750

# 18
Compound: Tm2Sc2Ir3
Source: Alexandria
Functional: PBE
Structure: relaxed

Results
- SG = No. 166

a b c (Å): 8.186 8.186 8.186
angles (deg): 32.64 32.64 32.64
Fractional positions:
Tm: 0.124 0.124 0.124
Tm: 0.876 0.876 0.876
Sc: 0.374 0.374 0.374
Sc: 0.626 0.626 0.626
Ir: 0.000 0.000 0.000
Ir: 0.254 0.254 0.254
Ir: 0.746 0.746 0.746

# 19
Compound: Tm3Sc4Ir4
Source: Alexandria
Functional: PBE
Structure: relaxed

Results
- SG = No. 71

a b c (Å): 8.693 8.693 8.693
angles (deg): 154.74 123.30 63.03
Fractional positions:
Tm: 0.000 0.000 0.000
Tm: 0.394 0.894 0.500
Tm: 0.606 0.106 0.500
Sc: 0.022 0.332 0.690
Sc: 0.358 0.668 0.690
Sc: 0.642 0.332 0.310
Sc: 0.978 0.668 0.310
Ir: 0.238 0.238 0.000
Ir: 0.295 0.500 0.795
Ir: 0.705 0.500 0.205
Ir: 0.762 0.762 0.000

# 20
Compound: Tm3Sc7Ir4
Source: Alexandria
Functional: PBE
Structure: relaxed

Results
- SG = No. 12

a b c (Å): 8.394 8.394 10.565
angles (deg): 124.50 124.50 30.61
Fractional positions:
Tm: 0.000 0.000 0.000
Tm: 0.306 0.306 0.297
Tm: 0.694 0.694 0.703
Sc: 0.000 0.000 0.500
Sc: 0.166 0.166 0.415
Sc: 0.309 0.309 0.972
Sc: 0.488 0.488 0.713
Sc: 0.512 0.512 0.287
Sc: 0.691 0.691 0.028
Sc: 0.834 0.834 0.585
Ir: 0.101 0.101 0.838
Ir: 0.317 0.317 0.719
Ir: 0.683 0.683 0.281
Ir: 0.899 0.899 0.162

# 21
Compound: TmSc2Ir
Source: Alexandria
Functional: PBE
Structure: relaxed

Results
- E above lowest polymorph (meV/atom) = 141
- SG = No. 123

a b c (Å): 3.248 3.248 8.426
angles (deg): 90.00 90.00 90.00
Fractional positions:
Tm: 0.000 0.000 0.000
Sc: 0.500 0.500 0.311
Sc: 0.500 0.500 0.689
Ir: 0.000 0.000 0.500

# 22
Compound: Tm2ScIr
Source: Alexandria
Functional: PBE
Structure: relaxed

Results
- E above lowest polymorph (meV/atom) = 526
- SG = No. 166

a b c (Å): 10.383 10.383 10.383
angles (deg): 19.72 19.72 19.72
Fractional positions:
Tm: 0.108 0.108 0.108
Tm: 0.892 0.892 0.892
Sc: 0.000 0.000 0.000
Ir: 0.500 0.500 0.500

# 23
Compound: Tm2ScIr
Source: Alexandria
Functional: PBE
Structure: relaxed

Results
- E above lowest polymorph (meV/atom) = 154
- SG = No. 123

a b c (Å): 3.454 3.454 8.086
angles (deg): 90.00 90.00 90.00
Fractional positions:
Tm: 0.000 0.000 0.196
Tm: 0.000 0.000 0.804
Sc: 0.500 0.500 0.500
Ir: 0.500 0.500 0.000

# 24
Compound: TmSc2Ir
Source: Alexandria
Functional: PBE
Structure: relaxed

Results
- E above lowest polymorph (meV/atom) = 353
- SG = No. 166

a b c (Å): 9.273 9.273 9.273
angles (deg): 22.13 22.13 22.13
Fractional positions:
Tm: 0.000 0.000 0.000
Sc: 0.226 0.226 0.226
Sc: 0.774 0.774 0.774
Ir: 0.500 0.500 0.500

| no. | energy of formation (eV per atom) | raw total energy (eV/atom) | N(E_F) (states/eV per cell) |
| --- | --- | --- | --- |
| 1 | -0.46 | -6.11 | 11.6 |
| 2 | -0.59 | -7.04 | 19.9 |
| 3 | -0.85 | -7.80 | 7.4 |
| 4 | -0.10 | -6.70 | 3.3 |
| 5 | -0.22 | -6.82 | 2.1 |
| 6 | -0.14 | -6.74 | 1.7 |
| 7 | -0.05 | -6.66 | 4.0 |
| 8 | -0.45 | -5.56 | 8.6 |
| 9 | -0.47 | -6.25 | 10.1 |
| 10 | -0.53 | -7.05 | 4.0 |
| 11 | -0.37 | -6.90 | 3.6 |
| 12 | -0.61 | -7.11 | 19.2 |
| 13 | -0.83 | -7.98 | 6.2 |
| 14 | -0.59 | -7.09 | 10.5 |
| 15 | -0.54 | -8.61 | 12.9 |
| 16 | -0.92 | -7.75 | 4.5 |
| 17 | -0.58 | -6.62 | 7.4 |
| 18 | -0.91 | -7.79 | 3.9 |
| 19 | -0.79 | -7.54 | 6.6 |
| 20 | -0.62 | -7.27 | 17.1 |
| 21 | -0.47 | -6.97 | 5.2 |
| 22 | -0.06 | -6.09 | 5.5 |
| 23 | -0.43 | -6.47 | 3.9 |
| 24 | -0.26 | -6.76 | 5.1 |